--- i ---
VASP calculation (PBE-GGA) on a relaxed LiDyInSn crystal.

Lattice parameters (Å, degrees): 4.423 4.519 4.676 90.00 90.00 90.00
Sites, in units of the cell vectors:
Dy  0.500  0.000  0.500
In  0.000  0.000  0.000
Sn  0.000  0.500  0.500
Li  0.500  0.500  0.000

As for the symmetry: Pmmm, No. 47. The value obtained for the total magnetization is 0.0 μB per cell.

--- ii ---
VASP calculation (PBE-GGA) on a relaxed LiDyInSn crystal.

Lattice parameters (Å, degrees): 5.156 5.156 5.156 60.00 60.00 60.00
Sites, in units of the cell vectors:
In  0.750  0.750  0.750
Li  0.500  0.500  0.500
Sn  0.250  0.250  0.250
Dy  0.000  0.000  0.000

As for the symmetry: F-43m, No. 216. The value obtained for the total magnetization is 0.0 μB per cell.

Preferred: i; penalty for the next structure: 106 meV/atom.